Here is a relaxed Sr5Hg2Rh2 crystal from Alexandria. Energies are from GGA-PBE.

The calculation puts the total energy at -2.973 eV/atom. The calculation puts the formation energy at -338 meV per atom.

The structure belongs to space group Cmce (No. 64); the cell edges are 16.964, 8.188 and 8.206 Å and the angles 90.00°, 90.00° and 90.00°. The inequivalent atoms are Sr at (0.000, 0.000, 0.000), Sr at (0.122, 0.170, 0.330), Hg at (0.211, 0.000, 0.000) and Rh at (0.000, 0.117, 0.617).

=====

Here is a relaxed SrHgRh2 crystal from Alexandria. Energies are from GGA-PBE.

The calculation puts the total energy at -4.316 eV/atom. The calculation puts the formation energy at -144 meV per atom.

The structure belongs to space group C2/m (No. 12); the cell edges are 8.105, 4.678 and 5.885 Å and the angles 90.00°, 117.24° and 90.00°. The inequivalent atoms are Sr at (0.000, 0.000, 0.000), Hg at (0.000, 0.500, 0.500) and Rh at (0.181, 0.000, 0.542).

=====

Here is a relaxed SrHgRh2 crystal from Alexandria. Energies are from GGA-PBE.

The calculation puts the total energy at -4.337 eV/atom. The calculation puts the formation energy at -165 meV per atom.

The structure belongs to space group R3m (No. 160, hexagonal axes); the cell edges are 4.5364, 4.5364 and 15.8503 Å and the angles 90.00°, 90.00° and 120.00°. The inequivalent atoms are Sr at (0.0000, 0.0000, 0.0000), Hg at (0.0000, 0.0000, 0.8008), Rh at (0.0000, 0.0000, 0.1970) and Rh at (0.0000, 0.0000, 0.5279).

=====

Here is a relaxed SrHg3Rh crystal from Alexandria. Energies are from GGA-PBE.

The calculation puts the total energy at -2.182 eV/atom. The calculation puts the formation energy at -194 meV per atom. The calculation puts the energy above the most stable polymorph in this dataset at 0.24 eV/f.u.

The structure belongs to space group Pm-3m (No. 221); the cell edges are 5.248, 5.248 and 5.248 Å and the angles 90.00°, 90.00° and 90.00°. The inequivalent atoms are Sr at (0.000, 0.000, 0.000), Hg at (0.000, 0.500, 0.500) and Rh at (0.500, 0.500, 0.500).

=====

Please write out number 3 again, unchanged.
Here is a relaxed SrHgRh2 crystal from Alexandria. Energies are from GGA-PBE.

The calculation puts the total energy at -4.337 eV/atom. The calculation puts the formation energy at -165 meV per atom.

The structure belongs to space group R3m (No. 160, hexagonal axes); the cell edges are 4.5364, 4.5364 and 15.8503 Å and the angles 90.00°, 90.00° and 120.00°. The inequivalent atoms are Sr at (0.0000, 0.0000, 0.0000), Hg at (0.0000, 0.0000, 0.8008), Rh at (0.0000, 0.0000, 0.1970) and Rh at (0.0000, 0.0000, 0.5279).